# 1
8
Lattice="-1.559 2.924 -0.889 -5.097 -2.045 2.211 3.036 2.976 4.466" Properties=species:S:1:pos:R:3 comment="PBE-GGA Sc4CS2O, optimized geometry" e_form_raw_ev_per_atom=-1.8722 crystal_system=monoclinic total_magnetization_mub_per_cell=0.00 rho_kg_m3=3807 sg="No. 10" pbc="T T T"
Sc -3.089 -0.873 2.544
C -3.328 0.440 0.661
O 0.000 0.000 0.000
S -1.030 0.465 3.338
Sc -1.398 1.582 1.034
Sc 1.028 1.804 4.133
Sc -2.222 2.273 4.754
S 0.739 2.950 1.788



# 2
12
Lattice="-2.459 5.874 1.247 -0.375 -4.692 4.467 6.588 1.457 0.516" Properties=species:S:1:pos:R:3 comment="PBE-GGA Sm6CS3O2, optimized geometry" e_form_raw_ev_per_atom=-1.9970 crystal_system=monoclinic total_magnetization_mub_per_cell=0.00 rho_kg_m3=7403 sg="No. 12" pbc="T T T"
O -1.766 2.358 2.318
S 1.181 4.848 2.039
O -1.069 -1.176 3.395
Sm 2.673 3.789 4.242
C 0.000 0.000 0.000
Sm 0.394 2.329 0.927
S 1.877 1.319 3.115
Sm 3.360 0.310 5.303
Sm 4.453 1.452 1.884
S 2.573 -2.209 4.190
Sm 1.080 -1.151 1.987
Sm -0.700 1.186 4.346